[1]
The following is a DFT calculation (PBE) of a geometry-optimized SnMo structure.

Cell lengths 5.5667, 5.5667, 5.5667 Å; angles 90.00, 90.00, 90.00 degrees
Space group Fm-3m (No. 225)
Inequivalent atoms, fractional coordinates:
Sn  0.0000  0.0000  0.0000 x4
Mo  0.0000  0.0000  0.5000 x4

Relative energy among the computed polymorphs ... 531 meV/atom
Electronic total energy ... -13.137 eV/f.u.

=====

[2]
The following is a DFT calculation (PBE) of a geometry-optimized SnMo2 structure.

Cell lengths 7.5842, 7.5842, 7.5842 Å; angles 90.00, 90.00, 90.00 degrees
Space group Fd-3m (No. 227, origin choice 2)
Inequivalent atoms, fractional coordinates:
Sn  0.1250  0.1250  0.1250 x8
Mo  0.0000  0.0000  0.5000 x16

Relative energy among the computed polymorphs ... 0 meV/atom
Electronic total energy ... -24.530 eV/f.u.

=====

[3]
The following is a DFT calculation (PBE) of a geometry-optimized SnMo2 structure.

Cell lengths 12.4997, 12.4997, 12.4997 Å; angles 90.00, 90.00, 90.00 degrees
Space group Fd-3m (No. 227, origin choice 2)
Inequivalent atoms, fractional coordinates:
Sn  0.1250  0.1250  0.1250 x8
Mo  0.0000  0.0000  0.0000 x16

Relative energy among the computed polymorphs ... 2898 meV/atom
Electronic total energy ... -15.835 eV/f.u.

=====

[4]
The following is a DFT calculation (PBE) of a geometry-optimized SnMo structure.

Cell lengths 6.2518, 6.2518, 6.2518 Å; angles 90.00, 90.00, 90.00 degrees
Space group F-43m (No. 216)
Inequivalent atoms, fractional coordinates:
Sn  0.0000  0.0000  0.0000 x4
Mo  0.2500  0.2500  0.2500 x4

Relative energy among the computed polymorphs ... 1247 meV/atom
Electronic total energy ... -11.704 eV/f.u.

=====

[5]
The following is a DFT calculation (PBE) of a geometry-optimized Sr2SnMo structure.

Cell lengths 7.4772, 7.4772, 7.4772 Å; angles 90.00, 90.00, 90.00 degrees
Space group F-43m (No. 216)
Inequivalent atoms, fractional coordinates:
Sr  0.0000  0.0000  0.0000 x4
Sr  0.2500  0.2500  0.2500 x4
Sn  0.0000  0.0000  0.5000 x4
Mo  0.2500  0.2500  0.7500 x4

Electronic total energy ... -16.316 eV/f.u.

=====

[6]
The following is a DFT calculation (PBE) of a geometry-optimized Sr3Sn2Mo2 structure.

Cell lengths 4.7838, 4.8483, 19.1416 Å; angles 90.00, 90.00, 90.00 degrees
Space group Immm (No. 71)
Inequivalent atoms, fractional coordinates:
Sr  0.0000  0.0000  0.0000 x2
Sr  0.0000  0.5000  0.1822 x4
Sn  0.0000  0.5000  0.3680 x4
Mo  0.0000  0.0000  0.4442 x4

Electronic total energy ... -34.584 eV/f.u.

=====

[7]
The following is a DFT calculation (PBE) of a geometry-optimized SrSn2Mo structure.

Cell lengths 7.2880, 7.2880, 7.2880 Å; angles 90.00, 90.00, 90.00 degrees
Space group F-43m (No. 216)
Inequivalent atoms, fractional coordinates:
Sr  0.0000  0.0000  0.0000 x4
Sn  0.0000  0.0000  0.5000 x4
Sn  0.2500  0.2500  0.7500 x4
Mo  0.2500  0.2500  0.2500 x4

Electronic total energy ... -18.188 eV/f.u.

=====

[8]
The following is a DFT calculation (PBE) of a geometry-optimized Ta2SnMo structure.

Cell lengths 6.6238, 6.6238, 6.6238 Å; angles 90.00, 90.00, 90.00 degrees
Space group F-43m (No. 216)
Inequivalent atoms, fractional coordinates:
Ta  0.0000  0.0000  0.0000 x4
Ta  0.2500  0.2500  0.2500 x4
Sn  0.0000  0.0000  0.5000 x4
Mo  0.2500  0.2500  0.7500 x4

Electronic total energy ... -37.851 eV/f.u.

=====

[9]
The following is a DFT calculation (PBE) of a geometry-optimized Ta2Sn2Mo structure.

Cell lengths 3.8019, 3.8019, 14.5167 Å; angles 90.00, 90.00, 90.00 degrees
Space group I4/mmm (No. 139)
Inequivalent atoms, fractional coordinates:
Ta  0.0000  0.0000  0.0925 x4
Sn  0.0000  0.5000  0.2500 x4
Mo  0.0000  0.0000  0.5000 x2

Electronic total energy ... -38.754 eV/f.u.

=====

[10]
The following is a DFT calculation (PBE) of a geometry-optimized Tb2Sn4Mo3 structure.

Cell lengths 7.3860, 7.4789, 7.3706 Å; angles 90.00, 109.13, 90.00 degrees
Space group P2_1/c (No. 14)
Inequivalent atoms, fractional coordinates:
Tb  0.1875  0.1721  0.0462 x4
Sn  0.0973  0.5515  0.8550 x4
Sn  0.4925  0.6437  0.6381 x4
Mo  0.2488  0.6451  0.2497 x4
Mo  0.5000  0.0000  0.5000 x2

Electronic total energy ... -59.571 eV/f.u.

=====

[11]
The following is a DFT calculation (PBE) of a geometry-optimized TcSnMo structure.

Cell lengths 6.1725, 6.1725, 6.1725 Å; angles 90.00, 90.00, 90.00 degrees
Space group F-43m (No. 216)
Inequivalent atoms, fractional coordinates:
Tc  0.0000  0.0000  0.0000 x4
Sn  0.2500  0.2500  0.2500 x4
Mo  0.2500  0.2500  0.7500 x4

Relative energy among the computed polymorphs ... 0 meV/atom
Electronic total energy ... -24.304 eV/f.u.

=====

[12]
The following is a DFT calculation (PBE) of a geometry-optimized Tc2Sn2Mo structure.

Cell lengths 3.6031, 3.6031, 14.5384 Å; angles 90.00, 90.00, 90.00 degrees
Space group I4/mmm (No. 139)
Inequivalent atoms, fractional coordinates:
Tc  0.0000  0.5000  0.2500 x4
Sn  0.0000  0.0000  0.1011 x4
Mo  0.0000  0.0000  0.5000 x2

Electronic total energy ... -35.880 eV/f.u.